(1)
A relaxed LiTa2Br crystal, computed with PBE.

a = 4.0399 Å, b = 4.0399 Å, c = 8.6123 Å
α = 90.00°, β = 90.00°, γ = 90.00°
Space group I-4m2 (No. 119)
Unique sites:
Li 0.0000 0.0000 0.0000
Ta 0.0000 0.0000 0.5000
Ta 0.0000 0.5000 0.7500
Br 0.0000 0.5000 0.2500

Values from the calculation:
Distance to the lowest polymorph of the same formula (eV/atom): 0.7720


(2)
A relaxed NdYCu10 crystal, computed with PBE.

a = 4.1064 Å, b = 5.1046 Å, c = 8.7621 Å
α = 90.00°, β = 90.00°, γ = 90.00°
Space group Pmmm (No. 47)
Unique sites:
Nd 0.0000 0.0000 0.0000
Y 0.0000 0.5000 0.5000
Cu 0.0000 0.0000 0.3367
Cu 0.0000 0.5000 0.1694
Cu 0.5000 0.0000 0.5000
Cu 0.5000 0.2521 0.2531
Cu 0.5000 0.5000 0.0000

Values from the calculation:
DFT formation energy (eV per atom): -0.1770


(3)
A relaxed NaSnH3 crystal, computed with PBE.

a = 3.9566 Å, b = 3.9566 Å, c = 3.9566 Å
α = 90.00°, β = 90.00°, γ = 90.00°
Space group Pm-3m (No. 221)
Unique sites:
Na 0.0000 0.0000 0.0000
Sn 0.5000 0.5000 0.5000
H 0.0000 0.0000 0.5000

Values from the calculation:
Distance to the lowest polymorph of the same formula (eV/atom): 0.3476


Question: What is the formula in the third record?
Answer: NaSnH3